Record 1
SbIr after structural relaxation, computed with PBE.

a = 3.8328 Å, b = 3.8328 Å, c = 7.5565 Å
α = 90.00°, β = 90.00°, γ = 120.00°
Last column: nearest neighbours and their distance in Å.
Fractional coordinates of all 4 atoms:
Sb: 0.3333 0.6667 0.2101  4 Ir 2.65-2.92
Sb: 0.6667 0.3333 0.7899  4 Ir 2.65-2.92
Ir: 0.3333 0.6667 0.5968  4 Sb 2.65-2.92, 3 Ir 2.65
Ir: 0.6667 0.3333 0.4032  4 Sb 2.65-2.92, 3 Ir 2.65

Results
V: 48.07 Å³/f.u.
Final energy: -6.354 eV per atom
SG: P-3m1 (164)
Uncorrected formation energy: 0.1380 eV/atom
DOS at the Fermi energy: 1.71 states/eV/cell

---

Record 2
Sc2PRu after structural relaxation, computed with PBE.

a = 4.4039 Å, b = 4.4039 Å, c = 3.4382 Å
α = 90.00°, β = 90.00°, γ = 90.00°
Last column: nearest neighbours and their distance in Å.
Fractional coordinates of all 4 atoms:
Sc: 0.0000 0.5000 0.0000  4 Ru 2.79, 4 P 2.79, 4 Sc 3.11
Sc: 0.5000 0.0000 0.0000  4 Ru 2.79, 4 P 2.79, 4 Sc 3.11
P: 0.0000 0.0000 0.5000  8 Sc 2.79, 4 Ru 3.11
Ru: 0.5000 0.5000 0.5000  8 Sc 2.79, 4 P 3.11

Results
V: 66.68 Å³/f.u.
Final energy: -7.627 eV per atom
SG: P4/mmm (123)
Calculated formation energy: -0.79 eV per atom
DOS at the Fermi energy: 1.78 states/eV/cell

---

Record 3
ScIn2Hg2 after structural relaxation, computed with PBE.

a = 4.3497 Å, b = 4.3497 Å, c = 13.3505 Å
α = 90.00°, β = 90.00°, γ = 90.00°
Last column: nearest neighbours and their distance in Å.
Fractional coordinates of all 10 atoms:
Sc: 0.0000 0.0000 0.0000  8 In 3.36
Sc: 0.5000 0.5000 0.5000  8 In 3.36
In: 0.0000 0.0000 0.3981  1 In 2.72, 4 Hg 2.94
In: 0.0000 0.0000 0.6019  1 In 2.72, 4 Hg 2.94
In: 0.5000 0.5000 0.1019  1 In 2.72, 4 Hg 2.94
In: 0.5000 0.5000 0.8981  1 In 2.72, 4 Hg 2.94
Hg: 0.0000 0.5000 0.2500  4 In 2.94, 4 Hg 3.08
Hg: 0.0000 0.5000 0.7500  4 In 2.94, 4 Hg 3.08
Hg: 0.5000 0.0000 0.2500  4 In 2.94, 4 Hg 3.08
Hg: 0.5000 0.0000 0.7500  4 In 2.94, 4 Hg 3.08

Results
V: 126.29 Å³/f.u.
Final energy: -2.400 eV per atom
SG: I4/mmm (139)
Calculated formation energy: 0.08 eV per atom
DOS at the Fermi energy: 4.84 states/eV/cell

---

Record 4
K2ErRuO4 after structural relaxation, computed with PBE.

a = 5.5532 Å, b = 3.3841 Å, c = 6.4468 Å
α = 90.00°, β = 108.09°, γ = 90.00°
Last column: nearest neighbours and their distance in Å.
Fractional coordinates of all 8 atoms:
K: 0.0000 0.0000 0.0000  6 O 2.72-2.80
K: 0.5000 0.5000 0.0000  6 O 2.68
Er: 0.0000 0.5000 0.5000  6 O 2.26
Ru: 0.5000 0.0000 0.5000  6 O 2.15-2.17
O: 0.2395 0.0000 0.6899  1 Ru 2.17, 2 Er 2.26
O: 0.2959 0.5000 0.3254  2 Ru 2.15, 1 Er 2.26
O: 0.7041 0.5000 0.6746  2 Ru 2.15, 1 Er 2.26
O: 0.7605 0.0000 0.3101  1 Ru 2.17, 2 Er 2.26

Results
V: 115.16 Å³/f.u.
Final energy: -6.340 eV per atom
SG: P2/m (10)
Uncorrected formation energy: -1.8564 eV/atom
DOS at the Fermi energy: 3.91 states/eV/cell

---

Record 5
LiHf after structural relaxation, computed with PBE.

a = 8.1428 Å, b = 8.1428 Å, c = 5.0997 Å
α = 90.00°, β = 90.00°, γ = 90.00°
Last column: nearest neighbours and their distance in Å.
Fractional coordinates of all 16 atoms:
Li: 0.0706 0.2405 0.0000  4 Li 2.80-2.89, 3 Hf 2.86-3.11
Li: 0.0706 0.7595 0.5000  4 Li 2.80-2.89, 3 Hf 2.86-3.11
Li: 0.2405 0.0706 0.5000  4 Li 2.80-2.89, 3 Hf 2.86-3.11
Li: 0.2405 0.9294 0.0000  4 Li 2.80-2.89, 3 Hf 2.86-3.11
Li: 0.7595 0.0706 0.0000  4 Li 2.80-2.89, 3 Hf 2.86-3.11
Li: 0.7595 0.9294 0.5000  4 Li 2.80-2.89, 3 Hf 2.86-3.11
Li: 0.9294 0.2405 0.5000  4 Li 2.80-2.89, 3 Hf 2.86-3.11
Li: 0.9294 0.7595 0.0000  4 Li 2.80-2.89, 3 Hf 2.86-3.11
Hf: 0.2481 0.4215 0.5000  4 Hf 2.85-3.04, 3 Li 2.86-3.11
Hf: 0.2481 0.5785 0.0000  4 Hf 2.85-3.04, 3 Li 2.86-3.11
Hf: 0.4215 0.2481 0.0000  4 Hf 2.85-3.04, 3 Li 2.86-3.11
Hf: 0.4215 0.7519 0.5000  4 Hf 2.85-3.04, 3 Li 2.86-3.11
Hf: 0.5785 0.2481 0.5000  4 Hf 2.85-3.04, 3 Li 2.86-3.11
Hf: 0.5785 0.7519 0.0000  4 Hf 2.85-3.04, 3 Li 2.86-3.11
Hf: 0.7519 0.4215 0.0000  4 Hf 2.85-3.04, 3 Li 2.86-3.11
Hf: 0.7519 0.5785 0.5000  4 Hf 2.85-3.04, 3 Li 2.86-3.11

Results
V: 42.27 Å³/f.u.
Final energy: -5.448 eV per atom
SG: P4/mcc (124)
Calculated formation energy: 0.49 eV per atom
DOS at the Fermi energy: 13.80 states/eV/cell

---

Record 6
NaCeNd2S4 after structural relaxation, computed with PBE.

a = 7.0242 Å, b = 4.0564 Å, c = 7.0603 Å
α = 90.00°, β = 109.31°, γ = 90.00°
Last column: nearest neighbours and their distance in Å.
Fractional coordinates of all 8 atoms:
Na: 0.0000 0.0000 0.0000  6 S 2.86-2.88
Ce: 0.5000 0.5000 0.0000  6 S 2.86
Nd: 0.0000 0.5000 0.5000  6 S 2.88
Nd: 0.5000 0.0000 0.5000  6 S 2.86-2.89
S: 0.2506 0.0000 0.7529  1 Na 2.86, 2 Ce 2.86, 3 Nd 2.88-2.89
S: 0.2527 0.5000 0.2506  1 Ce 2.86, 3 Nd 2.86-2.88, 2 Na 2.88
S: 0.7473 0.5000 0.7494  1 Ce 2.86, 3 Nd 2.86-2.88, 2 Na 2.88
S: 0.7494 0.0000 0.2471  1 Na 2.86, 2 Ce 2.86, 3 Nd 2.88-2.89

Results
V: 189.86 Å³/f.u.
Final energy: -6.067 eV per atom
SG: P2/m (10)
Uncorrected formation energy: -1.9049 eV/atom
DOS at the Fermi energy: 7.06 states/eV/cell

---

Record 7
ZrScP2O after structural relaxation, computed with PBE.

a = 5.0833 Å, b = 5.0833 Å, c = 3.9835 Å
α = 90.00°, β = 90.00°, γ = 90.00°
Last column: nearest neighbours and their distance in Å.
Fractional coordinates of all 5 atoms:
Zr: 0.0000 0.0000 0.0000  2 O 1.99
Sc: 0.5000 0.5000 0.5000  8 P 3.23, 4 O 3.59
P: 0.0000 0.5000 0.0000  2 Zr 2.54
P: 0.5000 0.0000 0.0000  2 Zr 2.54
O: 0.0000 0.0000 0.5000  2 Zr 1.99

Results
V: 102.93 Å³/f.u.
Final energy: -7.048 eV per atom
SG: P4/mmm (123)
Uncorrected formation energy: -0.9160 eV/atom
DOS at the Fermi energy: 4.47 states/eV/cell

---

Record 8
AcVGe3 after structural relaxation, computed with PBE.

a = 6.4066 Å, b = 6.4066 Å, c = 5.7754 Å
α = 90.00°, β = 90.00°, γ = 120.00°
Last column: nearest neighbours and their distance in Å.
Fractional coordinates of all 10 atoms:
Ac: 0.3333 0.6667 0.2500  12 Ge 3.22-3.28
Ac: 0.6667 0.3333 0.7500  12 Ge 3.22-3.28
V: 0.0000 0.0000 0.0000  6 Ge 2.58
V: 0.0000 0.0000 0.5000  6 Ge 2.58
Ge: 0.1924 0.3848 0.7500  2 V 2.58, 2 Ge 2.71
Ge: 0.1924 0.8076 0.7500  2 V 2.58, 2 Ge 2.71
Ge: 0.3848 0.1924 0.2500  2 V 2.58, 2 Ge 2.71
Ge: 0.6152 0.8076 0.7500  2 V 2.58, 2 Ge 2.71
Ge: 0.8076 0.1924 0.2500  2 V 2.58, 2 Ge 2.71
Ge: 0.8076 0.6152 0.2500  2 V 2.58, 2 Ge 2.71

Results
V: 102.64 Å³/f.u.
Final energy: -5.918 eV per atom
SG: P6_3/mmc (194)
Calculated formation energy: -0.50 eV per atom
DOS at the Fermi energy: 5.98 states/eV/cell

---

Record 9
VSiSeBr2 after structural relaxation, computed with PBE.

a = 5.0505 Å, b = 5.0505 Å, c = 5.0888 Å
α = 90.00°, β = 90.00°, γ = 90.00°
Last column: nearest neighbours and their distance in Å.
Fractional coordinates of all 5 atoms:
V: 0.0000 0.0000 0.0000  4 Se 3.57, 8 Br 3.58
Si: 0.5000 0.5000 0.5000  4 Br 2.53, 2 Se 2.54
Se: 0.5000 0.5000 0.0000  2 Si 2.54
Br: 0.0000 0.5000 0.5000  2 Si 2.53
Br: 0.5000 0.0000 0.5000  2 Si 2.53

Results
V: 129.80 Å³/f.u.
Final energy: -3.888 eV per atom
SG: P4/mmm (123)
Uncorrected formation energy: 0.3860 eV/atom
DOS at the Fermi energy: 3.63 states/eV/cell

---

Record 10
AlHgHPb2 after structural relaxation, computed with PBE.

a = 5.7956 Å, b = 5.7956 Å, c = 3.3912 Å
α = 90.00°, β = 90.00°, γ = 90.00°
Last column: nearest neighbours and their distance in Å.
Fractional coordinates of all 5 atoms:
Al: 0.0000 0.0000 0.0000  2 H 1.70
Hg: 0.5000 0.5000 0.5000  8 Pb 3.36, 2 Hg 3.39
H: 0.0000 0.0000 0.5000  2 Al 1.70
Pb: 0.0000 0.5000 0.0000  2 Al 2.90
Pb: 0.5000 0.0000 0.0000  2 Al 2.90

Results
V: 113.90 Å³/f.u.
Final energy: -2.783 eV per atom
SG: P4/mmm (123)
DOS at the Fermi energy: 2.37 states/eV/cell

---

Record 11
YMg5Pt6 after structural relaxation, computed with PBE.

a = 4.5357 Å, b = 6.6262 Å, c = 6.9690 Å
α = 90.00°, β = 103.74°, γ = 90.00°
Last column: nearest neighbours and their distance in Å.
Fractional coordinates of all 12 atoms:
Y: 0.0000 0.0000 0.0000  8 Pt 2.87-2.89, 2 Mg 3.11
Mg: 0.0000 0.5000 0.0000  8 Pt 2.75-2.81, 2 Mg 3.05
Mg: 0.3353 0.0000 0.6584  8 Pt 2.76-2.91, 1 Mg 2.95
Mg: 0.3353 0.5000 0.6694  8 Pt 2.74-2.78, 1 Mg 3.05
Mg: 0.6647 0.0000 0.3416  8 Pt 2.76-2.91, 1 Mg 2.95
Mg: 0.6647 0.5000 0.3306  8 Pt 2.74-2.78, 1 Mg 3.05
Pt: 0.1695 0.2594 0.3410  7 Mg 2.74-2.86, 1 Y 2.89, 1 Pt 2.98
Pt: 0.1695 0.7406 0.3410  7 Mg 2.74-2.86, 1 Y 2.89, 1 Pt 2.98
Pt: 0.5000 0.2645 0.0000  6 Mg 2.74-2.91, 2 Y 2.87
Pt: 0.5000 0.7355 0.0000  6 Mg 2.74-2.91, 2 Y 2.87
Pt: 0.8305 0.2594 0.6590  7 Mg 2.74-2.86, 1 Y 2.89, 1 Pt 2.98
Pt: 0.8305 0.7406 0.6590  7 Mg 2.74-2.86, 1 Y 2.89, 1 Pt 2.98

Results
V: 203.45 Å³/f.u.
Final energy: -5.126 eV per atom
SG: P2/m (10)
Calculated formation energy: -0.90 eV per atom
DOS at the Fermi energy: 2.84 states/eV/cell

---

Record 12
Zr6Sb3Pb after structural relaxation, computed with PBE.

a = 8.5134 Å, b = 8.5134 Å, c = 7.3612 Å
α = 90.00°, β = 90.00°, γ = 111.70°
Last column: nearest neighbours and their distance in Å.
Fractional coordinates of all 20 atoms:
Zr: 0.0357 0.9643 0.5000  1 Pb 2.98, 4 Sb 3.00-3.03
Zr: 0.0542 0.4734 0.0268  3 Sb 2.90-3.00, 3 Zr 3.05-3.24, 2 Pb 3.12-3.24
Zr: 0.2433 0.3591 0.3548  4 Sb 2.86-3.00, 1 Zr 3.11
Zr: 0.2686 0.7314 0.3218  3 Sb 2.99-3.07, 6 Zr 3.05-3.15
Zr: 0.3591 0.2433 0.8548  4 Sb 2.86-3.00, 1 Zr 3.11
Zr: 0.4734 0.0542 0.5268  3 Sb 2.90-3.00, 3 Zr 3.05-3.24, 2 Pb 3.12-3.24
Zr: 0.5266 0.9458 0.0268  3 Sb 2.90-3.00, 3 Zr 3.05-3.24, 2 Pb 3.12-3.24
Zr: 0.6409 0.7567 0.3548  4 Sb 2.86-3.00, 1 Zr 3.11
Zr: 0.7314 0.2686 0.8218  3 Sb 2.99-3.07, 6 Zr 3.05-3.15
Zr: 0.7567 0.6409 0.8548  4 Sb 2.86-3.00, 1 Zr 3.11
Zr: 0.9458 0.5266 0.5268  3 Sb 2.90-3.00, 3 Zr 3.05-3.24, 2 Pb 3.12-3.24
Zr: 0.9643 0.0357 0.0000  1 Pb 2.98, 4 Sb 3.00-3.03
Sb: 0.0719 0.2887 0.6967  7 Zr 2.86-3.03
Sb: 0.2887 0.0719 0.1967  7 Zr 2.86-3.03
Sb: 0.4302 0.5698 0.0411  7 Zr 2.95-3.07
Sb: 0.5698 0.4302 0.5411  7 Zr 2.95-3.07
Sb: 0.7113 0.9281 0.6967  7 Zr 2.86-3.03
Sb: 0.9281 0.7113 0.1967  7 Zr 2.86-3.03
Pb: 0.1913 0.8087 0.7747  5 Zr 2.98-3.24
Pb: 0.8087 0.1913 0.2747  5 Zr 2.98-3.24

Results
V: 247.86 Å³/f.u.
Final energy: -7.117 eV per atom
SG: Cmc2_1 (36)
Uncorrected formation energy: -0.3804 eV/atom
DOS at the Fermi energy: 19.61 states/eV/cell

---

- Among the records above, which one has the highest final energy?
  ScIn2Hg2

---

- Which of these has the lowest V?
  LiHf